VASP calculation (GGA-PBE) on crystalline RbBe2GeIr at its relaxed geometry.

Summary:
energy relative to the elements: 5.05 eV per formula unit
space-group type: P4/mmm (123)
M_tot: 0.00 μB/f.u.
crystal system: tetragonal

abc: 4.442 5.825 4.442
angles: 90.00 90.00 90.00
Element x y z (fractional)
Be 0.000 0.000 0.500
Be 0.500 0.000 0.000
Ge 0.500 0.500 0.500
Ir 0.000 0.000 0.000
Rb 0.000 0.500 0.000

VASP calculation (GGA-PBE) on crystalline CrP2Ir at its relaxed geometry.

Summary:
energy relative to the elements: -0.47 eV per formula unit
energy relative to the lowest polymorph listed for this composition: 0.216 eV per atom
space-group type: I-42d (122)
M_tot: 1.89 μB/f.u.
crystal system: tetragonal

abc: 5.235 5.235 6.475
angles: 66.15 66.15 90.00
Each line ends with the local moment (μB).
Element x y z (fractional)
Cr 0.500 0.500 0.000  1.99
Cr 0.250 0.750 0.500  1.99
P 0.626 0.125 0.250  -0.09
P 0.875 0.876 0.750  -0.08
P 0.375 0.374 0.750  -0.09
P 0.124 0.625 0.250  -0.08
Ir 0.750 0.250 0.500  -0.04
Ir 0.000 0.000 0.000  -0.05

VASP calculation (GGA-PBE) on crystalline HfPa2Sn at its relaxed geometry.

Summary:
energy relative to the elements: -0.78 eV per formula unit
energy relative to the lowest polymorph listed for this composition: 0.000 eV per atom
space-group type: P4/mmm (123)
M_tot: 0.00 μB/f.u.
crystal system: tetragonal

abc: 4.929 4.386 4.386
angles: 90.00 90.00 90.00
Element x y z (fractional)
Pa 0.000 0.000 0.500
Pa 0.000 0.500 0.000
Sn 0.500 0.000 0.000
Hf 0.500 0.500 0.500

VASP calculation (GGA-PBE) on crystalline TlCuCl3 at its relaxed geometry.

Summary:
space-group type: P2_1/m (11)
formation energy from raw total energies: -683.4 meV/atom
M_tot: 1.00 μB/f.u.
crystal system: monoclinic

abc: 6.521 6.549 7.927
angles: 90.00 122.46 90.00
Each line ends with the local moment (μB).
Element x y z (fractional)
Tl 0.756 0.750 0.501  0.01
Tl 0.244 0.250 0.499  0.01
Cl 0.652 0.250 0.420  0.01
Cl 0.348 0.750 0.580  0.01
Cl 0.223 0.999 0.929  0.20
Cl 0.223 0.501 0.929  0.20
Cl 0.777 0.499 0.071  0.20
Cl 0.777 0.001 0.071  0.20
Cu 0.483 0.750 0.944  0.50
Cu 0.517 0.250 0.056  0.50

VASP calculation (GGA-PBE) on crystalline Pu3BRh3Au2 at its relaxed geometry.

Summary:
energy relative to the elements: -3.21 eV per formula unit
space-group type: P-62m (189)
M_tot: 15.19 μB/f.u.
crystal system: hexagonal

abc: 3.431 7.611 7.611
angles: 120.00 90.00 90.00
Each line ends with the local moment (μB).
Element x y z (fractional)
Au 0.500 0.333 0.667  0.02
Au 0.500 0.667 0.333  0.02
Pu 0.000 0.640 0.640  5.07
Pu 0.000 0.360 0.000  5.07
Pu 0.000 0.000 0.360  5.07
B 0.000 0.000 0.000  -0.01
Rh 0.500 0.209 0.209  -0.20
Rh 0.500 0.000 0.791  -0.20
Rh 0.500 0.791 0.000  -0.20

VASP calculation (GGA-PBE) on crystalline AcHoP2O8 at its relaxed geometry.

Summary:
space-group type: P-3 (147)
formation energy from raw total energies: -2987.5 meV/atom
M_tot: 0.00 μB/f.u.
crystal system: trigonal

abc: 5.311 5.311 7.428
angles: 90.00 90.00 120.00
Element x y z (fractional)
Ho 0.000 0.000 0.500
P 0.667 0.333 0.221
P 0.333 0.667 0.779
O 0.651 0.823 0.708
O 0.333 0.667 0.985
O 0.828 0.651 0.292
O 0.667 0.333 0.015
O 0.177 0.828 0.708
O 0.172 0.349 0.708
O 0.349 0.177 0.292
O 0.823 0.172 0.292
Ac 0.000 0.000 0.000

VASP calculation (GGA-PBE) on crystalline TlNClF2 at its relaxed geometry.

Summary:
energy relative to the lowest polymorph listed for this composition: 0.000 eV per atom
space-group type: P4/mmm (123)
formation energy from raw total energies: 66.3 meV/atom
M_tot: 0.00 μB/f.u.
crystal system: tetragonal

abc: 4.984 4.984 3.395
angles: 90.00 90.00 90.00
Element x y z (fractional)
F 0.000 0.500 0.000
F 0.500 0.000 0.000
Cl 0.000 0.000 0.000
Tl 0.500 0.500 0.500
N 0.000 0.000 0.500

VASP calculation (GGA-PBE) on crystalline GeAu4 at its relaxed geometry.

Summary:
energy relative to the elements: 0.30 eV per formula unit
energy relative to the lowest polymorph listed for this composition: 0.003 eV per atom
space-group type: Pbam (55)
M_tot: 0.00 μB/f.u.
crystal system: orthorhombic

abc: 4.497 4.432 9.705
angles: 90.00 89.98 90.00
Element x y z (fractional)
Ge 0.000 0.000 0.000
Ge 0.000 0.500 0.500
Au 0.000 0.000 0.652
Au 0.000 0.000 0.348
Au 0.500 0.498 0.350
Au 0.500 0.998 0.150
Au 0.500 0.502 0.650
Au 0.000 0.500 0.848
Au 0.500 0.002 0.850
Au 0.000 0.500 0.152

VASP calculation (GGA-PBE) on crystalline KRb4Na4 at its relaxed geometry.

Summary:
energy relative to the elements: 0.82 eV per formula unit
space-group type: I-42m (121)
M_tot: 0.00 μB/f.u.
crystal system: tetragonal

abc: 6.999 12.961 6.999
angles: 74.34 90.00 105.66
Element x y z (fractional)
Na 0.411 0.436 0.975
Na 0.975 0.564 0.025
Na 0.025 0.436 0.589
Na 0.589 0.564 0.411
Rb 0.821 0.229 0.179
Rb 0.592 0.771 0.821
Rb 0.408 0.229 0.592
Rb 0.179 0.771 0.408
K 0.000 0.000 0.000

VASP calculation (GGA-PBE) on crystalline Ac6As2Rh3Br at its relaxed geometry.

Summary:
space-group type: C2/m (12)
formation energy from raw total energies: -1013.3 meV/atom
M_tot: 0.00 μB/f.u.
crystal system: monoclinic

abc: 4.374 9.145 10.050
angles: 106.03 102.57 90.00
Element x y z (fractional)
Ac 0.324 0.926 0.648
Ac 0.994 0.276 0.989
Ac 0.336 0.415 0.671
Ac 0.664 0.585 0.329
Ac 0.676 0.074 0.352
Ac 0.006 0.724 0.011
Br 0.500 0.000 0.000
Rh 0.500 0.500 0.000
Rh 0.836 0.170 0.672
Rh 0.164 0.830 0.328
As 0.837 0.678 0.674
As 0.163 0.322 0.326

VASP calculation (GGA-PBE) on crystalline Rb3In8Sn3 at its relaxed geometry.

Summary:
energy relative to the elements: -1.43 eV per formula unit
energy relative to the lowest polymorph listed for this composition: 0.000 eV per atom
space-group type: C2/m (12)
M_tot: 0.00 μB/f.u.
crystal system: monoclinic

abc: 5.198 9.769 9.888
angles: 71.03 74.76 74.57
Element x y z (fractional)
In 0.150 0.573 0.126
In 0.664 0.974 0.698
In 0.856 0.863 0.425
In 0.498 0.308 0.696
In 0.502 0.692 0.304
In 0.144 0.137 0.575
In 0.850 0.427 0.874
In 0.336 0.026 0.302
Rb 0.304 0.695 0.696
Rb 0.000 0.000 0.000
Rb 0.696 0.305 0.304
Sn 0.342 0.288 0.028
Sn 0.000 0.500 0.500
Sn 0.658 0.712 0.972

VASP calculation (GGA-PBE) on crystalline InSe2O6F2 at its relaxed geometry.

Summary:
space-group type: P-3 (147)
formation energy from raw total energies: -939.6 meV/atom
M_tot: 0.00 μB/f.u.
crystal system: trigonal

abc: 5.511 5.511 7.369
angles: 90.00 90.00 120.00
Element x y z (fractional)
Se 0.667 0.333 0.236
Se 0.333 0.667 0.764
O 0.935 0.288 0.173
O 0.065 0.712 0.827
O 0.712 0.647 0.173
O 0.647 0.935 0.827
O 0.288 0.353 0.827
O 0.353 0.065 0.173
In 0.000 0.000 0.000
F 0.333 0.667 0.517
F 0.667 0.333 0.483